1.
{"formula": "Mo5As4", "functional": "GGA-PBE", "state": "optimized geometry", "lattice_angstrom": [[-4.8485, 4.8485, 1.6405], [4.8485, -4.8485, 1.6405], [4.8485, 4.8485, -1.6405]], "species": ["Mo", "Mo", "Mo", "Mo", "Mo", "As", "As", "As", "As"], "fractional_positions": [[0.0000, 0.0000, 0.0000], [0.2982, 0.3788, 0.6770], [0.3788, 0.7018, 0.0806], [0.6212, 0.2982, 0.9194], [0.7018, 0.6212, 0.3230], [0.0570, 0.2859, 0.3430], [0.2859, 0.9430, 0.2289], [0.7141, 0.0570, 0.7711], [0.9430, 0.7141, 0.6570]], "sg": "I4/m", "e_form_ev_per_atom": -0.299, "crystal_system": "tetragonal"}

***

2.
{"formula": "Mo3As4", "functional": "GGA-PBE", "state": "optimized geometry", "lattice_angstrom": [[-1.6582, 1.6582, 10.3112], [1.6582, -1.6582, 10.3112], [1.6582, 1.6582, -10.3112]], "species": ["Mo", "Mo", "Mo", "As", "As", "As", "As"], "fractional_positions": [[0.0000, 0.0000, 0.0000], [0.2963, 0.2963, 0.0000], [0.7037, 0.7037, 0.0000], [0.1548, 0.1548, 0.0000], [0.4322, 0.4322, 0.0000], [0.5678, 0.5678, 0.0000], [0.8452, 0.8452, 0.0000]], "sg": "I4/mmm", "e_form_ev_per_atom": -0.086, "crystal_system": "tetragonal"}

***

3.
{"formula": "MoAs3", "functional": "GGA-PBE", "state": "optimized geometry", "lattice_angstrom": [[0.0000, 3.2311, 3.2311], [3.2311, 0.0000, 3.2311], [3.2311, 3.2311, 0.0000]], "species": ["Mo", "As", "As", "As"], "fractional_positions": [[0.0000, 0.0000, 0.0000], [0.2500, 0.2500, 0.2500], [0.5000, 0.5000, 0.5000], [0.7500, 0.7500, 0.7500]], "sg": "Fm-3m", "e_form_ev_per_atom": 0.429, "crystal_system": "cubic"}

***

4.
{"formula": "MoAs3", "functional": "GGA-PBE", "state": "optimized geometry", "lattice_angstrom": [[3.8523, -6.4539, 0.0000], [3.8523, 6.4539, 0.0000], [0.0000, 0.0000, 4.0008]], "species": ["Mo", "Mo", "As", "As", "As", "As", "As", "As"], "fractional_positions": [[0.0644, 0.9356, 0.7500], [0.9356, 0.0644, 0.2500], [0.1315, 0.3243, 0.7500], [0.2285, 0.7715, 0.2500], [0.3243, 0.1315, 0.2500], [0.6757, 0.8685, 0.7500], [0.7715, 0.2285, 0.7500], [0.8685, 0.6757, 0.2500]], "sg": "Cmcm", "e_form_ev_per_atom": 0.062, "crystal_system": "orthorhombic"}

***

5.
{"formula": "MoAs3", "functional": "GGA-PBE", "state": "optimized geometry", "lattice_angstrom": [[1.5620, 0.9018, 8.6310], [-1.5620, 0.9018, 8.6310], [0.0000, -1.8036, 8.6310]], "species": ["Mo", "As", "As", "As"], "fractional_positions": [[0.0000, 0.0000, 0.0000], [0.2618, 0.2618, 0.2618], [0.5000, 0.5000, 0.5000], [0.7382, 0.7382, 0.7382]], "sg": "R-3m", "e_form_ev_per_atom": 0.100, "crystal_system": "trigonal"}

***

6.
{"formula": "Mo3As", "functional": "GGA-PBE", "state": "optimized geometry", "lattice_angstrom": [[3.6404, -3.9645, 0.0000], [3.6404, 3.9645, 0.0000], [0.0000, 0.0000, 4.3583]], "species": ["Mo", "Mo", "Mo", "Mo", "Mo", "Mo", "As", "As"], "fractional_positions": [[0.1268, 0.8732, 0.7500], [0.1799, 0.3748, 0.7500], [0.3748, 0.1799, 0.2500], [0.6252, 0.8201, 0.7500], [0.8201, 0.6252, 0.2500], [0.8732, 0.1268, 0.2500], [0.3251, 0.6749, 0.2500], [0.6749, 0.3251, 0.7500]], "sg": "Cmcm", "e_form_ev_per_atom": 0.063, "crystal_system": "orthorhombic"}

***

7.
{"formula": "MoAs3", "functional": "GGA-PBE", "state": "optimized geometry", "lattice_angstrom": [[3.4224, 0.0000, 0.0000], [-1.7112, 2.9639, 0.0000], [0.0000, 0.0000, 7.1898]], "species": ["Mo", "As", "As", "As"], "fractional_positions": [[0.0000, 0.0000, 0.0000], [0.0000, 0.0000, 0.5000], [0.3333, 0.6667, 0.2301], [0.3333, 0.6667, 0.7699]], "sg": "P-6m2", "e_form_ev_per_atom": 0.111, "crystal_system": "hexagonal"}

***

8.
{"formula": "Mo3As", "functional": "GGA-PBE", "state": "optimized geometry", "lattice_angstrom": [[0.0000, 3.1432, 3.1432], [3.1432, 0.0000, 3.1432], [3.1432, 3.1432, 0.0000]], "species": ["Mo", "Mo", "Mo", "As"], "fractional_positions": [[0.0000, 0.0000, 0.0000], [0.2500, 0.2500, 0.2500], [0.7500, 0.7500, 0.7500], [0.5000, 0.5000, 0.5000]], "sg": "Fm-3m", "e_form_ev_per_atom": 0.195, "crystal_system": "cubic"}

***

Copy entry 7 word for word.
{"formula": "MoAs3", "functional": "GGA-PBE", "state": "optimized geometry", "lattice_angstrom": [[3.4224, 0.0000, 0.0000], [-1.7112, 2.9639, 0.0000], [0.0000, 0.0000, 7.1898]], "species": ["Mo", "As", "As", "As"], "fractional_positions": [[0.0000, 0.0000, 0.0000], [0.0000, 0.0000, 0.5000], [0.3333, 0.6667, 0.2301], [0.3333, 0.6667, 0.7699]], "sg": "P-6m2", "e_form_ev_per_atom": 0.111, "crystal_system": "hexagonal"}